(1)
# GaIrPdRh2

A geometry-optimized GaIrPdRh2 structure (PBE, Alexandria).

Calculated values
* final energy: -24.28 eV per formula unit
* SG: No. 123
* total magnetic moment: 2.7 μB per cell
* calculated formation energy: 1500 meV per atom

```
5
Lattice="4.7242 0.0000 0.0000 0.0000 4.4773 0.0000 0.0000 0.0000 4.7242" Properties=species:S:1:pos:R:3 pbc="T T T"
Ir 2.3621 2.2387 2.3621
Rh 0.0000 0.0000 2.3621
Rh 2.3621 0.0000 0.0000
Ga 0.0000 2.2387 0.0000
Pd 0.0000 0.0000 0.0000
```

---

(2)
# GaIrPdRh

A geometry-optimized GaIrPdRh structure (PBE, Alexandria).

Calculated values
* final energy: -24.83 eV per formula unit
* SG: No. 216
* total magnetic moment: 0.0 μB per cell
* calculated formation energy: -99 meV per atom

```
4
Lattice="4.3720 0.0000 0.0000 2.1860 3.7863 0.0000 2.1860 1.2621 3.5697" Properties=species:S:1:pos:R:3 pbc="T T T"
Ir 2.1860 1.2621 0.8924
Rh 4.3720 2.5242 1.7849
Ga 0.0000 0.0000 0.0000
Pd 6.5580 3.7863 2.6773
```

---

(3)
# ScGaIrPd

A geometry-optimized ScGaIrPd structure (PBE, Alexandria).

Calculated values
* final energy: -26.70 eV per formula unit
* SG: No. 119
* total magnetic moment: 0.0 μB per cell
* distance to the lowest polymorph of the same formula: 0 meV/atom
* calculated formation energy: -821 meV per atom

```
4
Lattice="4.2248 0.0000 0.0000 0.0000 4.2249 0.0001 -2.1124 -2.1123 3.5404" Properties=species:S:1:pos:R:3 pbc="T T T"
Sc 2.1124 2.1127 3.5405
Ga 2.1124 2.1124 0.0001
Ir 0.0000 2.1127 1.7703
Pd 2.1124 0.0000 1.7703
```

---

(4)
# ScGaIrPd

A geometry-optimized ScGaIrPd structure (PBE, Alexandria).

Calculated values
* final energy: -26.63 eV per formula unit
* SG: No. 216
* total magnetic moment: 0.0 μB per cell
* distance to the lowest polymorph of the same formula: 16 meV/atom
* calculated formation energy: -805 meV per atom

```
4
Lattice="-1.1725 -2.2038 3.7187 2.0541 -3.8325 1.0737 2.7959 -0.1392 3.4963" Properties=species:S:1:pos:R:3 pbc="T T T"
Sc 2.7581 -4.6316 6.2165
Ir 0.0000 0.0000 0.0000
Ga 0.9194 -1.5439 2.0722
Pd 1.8387 -3.0877 4.1443
```

---

(5)
# Sc4GaIr2Pd

A geometry-optimized Sc4GaIr2Pd structure (PBE, Alexandria).

Calculated values
* final energy: -58.34 eV per formula unit
* SG: No. 166
* total magnetic moment: 0.0 μB per cell
* calculated formation energy: -884 meV per atom

```
8
Lattice="4.6326 0.0000 0.0000 2.3163 4.0119 0.0000 2.3163 1.3373 7.6141" Properties=species:S:1:pos:R:3 pbc="T T T"
Sc 4.6326 2.6746 6.6241
Sc 6.9489 4.0119 2.8813
Sc 2.3163 1.3373 4.7328
Sc 4.6326 2.6746 0.9900
Ga 0.0000 0.0000 0.0000
Ir 6.9488 4.0119 5.7295
Ir 2.3163 1.3373 1.8845
Pd 4.6326 2.6746 3.8070
```

---

(6)
# Ga2IrPdSe

A geometry-optimized Ga2IrPdSe structure (PBE, Alexandria).

Calculated values
* final energy: -19.90 eV per formula unit
* uncorrected formation energy: 0.739 eV/atom
* SG: No. 123
* total magnetic moment: 0.6 μB per cell

```
5
Lattice="4.6661 0.0000 0.0000 0.0000 4.9425 0.0000 0.0000 0.0000 4.6661" Properties=species:S:1:pos:R:3 pbc="T T T"
Ga 0.0000 0.0000 2.3330
Ga 2.3330 0.0000 0.0000
Ir 2.3330 2.4712 2.3330
Se 0.0000 2.4712 0.0000
Pd 0.0000 0.0000 0.0000
```

---

(7)
# SmGa4Ir2Pd

A geometry-optimized SmGa4Ir2Pd structure (PBE, Alexandria).

Calculated values
* final energy: -44.34 eV per formula unit
* SG: No. 166
* total magnetic moment: 0.0 μB per cell
* calculated formation energy: -575 meV per atom

```
8
Lattice="-0.4623 3.3585 2.6320 -3.0037 -0.0729 3.0648 4.5414 -2.4303 7.3981" Properties=species:S:1:pos:R:3 pbc="T T T"
Sm 0.0000 0.0000 0.0000
Ga 2.2656 -0.6417 8.2154
Ga -1.2510 1.9147 7.8351
Ga 2.3264 -1.0595 5.2599
Ga -1.1902 1.4969 4.8796
Ir 0.5302 0.8124 9.5545
Ir 0.5452 0.0428 3.5405
Pd 0.5377 0.4276 6.5475
```

---

(8)
# SmGa2IrPd2

A geometry-optimized SmGa2IrPd2 structure (PBE, Alexandria).

Calculated values
* final energy: -32.77 eV per formula unit
* SG: No. 123
* total magnetic moment: 0.0 μB per cell
* calculated formation energy: -459 meV per atom

```
6
Lattice="4.7227 0.0000 0.0000 0.0000 4.7227 0.0000 0.0000 0.0000 5.5269" Properties=species:S:1:pos:R:3 pbc="T T T"
Sm 0.0000 0.0000 2.7634
Ga 2.3614 0.0000 0.0000
Ga 0.0000 2.3614 0.0000
Ir 0.0000 0.0000 0.0000
Pd 2.3614 2.3614 4.1174
Pd 2.3614 2.3614 1.4095
```

---

(9)
# SmGa4IrPd2

A geometry-optimized SmGa4IrPd2 structure (PBE, Alexandria).

Calculated values
* final energy: -40.91 eV per formula unit
* SG: No. 166
* total magnetic moment: 0.0 μB per cell
* calculated formation energy: -605 meV per atom

```
8
Lattice="4.2886 0.0000 0.0000 2.1443 3.7140 0.0000 2.1443 1.2380 8.8529" Properties=species:S:1:pos:R:3 pbc="T T T"
Sm 0.0000 0.0000 0.0000
Ga 4.2886 2.4760 7.0908
Ga 6.4328 3.7140 3.5414
Ga 2.1443 1.2380 5.3115
Ga 4.2886 2.4760 1.7620
Ir 4.2886 2.4760 4.4264
Pd 6.4328 3.7140 6.2920
Pd 2.1443 1.2380 2.5609
```

---

(10)
# GaSnIrPd

A geometry-optimized GaSnIrPd structure (PBE, Alexandria).

Calculated values
* final energy: -22.15 eV per formula unit
* SG: No. 216
* total magnetic moment: 0.0 μB per cell
* calculated formation energy: -268 meV per atom

```
4
Lattice="4.5371 0.0000 0.0000 2.2685 3.9292 0.0000 2.2685 1.3097 3.7045" Properties=species:S:1:pos:R:3 pbc="T T T"
Ga 6.8056 3.9292 2.7784
Ir 0.0000 0.0000 0.0000
Sn 2.2685 1.3097 0.9261
Pd 4.5371 2.6195 1.8522
```

---

(11)
# SrGa2IrPd

A geometry-optimized SrGa2IrPd structure (PBE, Alexandria).

Calculated values
* final energy: -24.95 eV per formula unit
* SG: No. 119
* total magnetic moment: 0.0 μB per cell
* calculated formation energy: -633 meV per atom

```
5
Lattice="-0.6249 0.0575 -4.2456 -1.1672 -4.1283 0.1159 -4.2436 3.5104 2.8414" Properties=species:S:1:pos:R:3 pbc="T T T"
Sr 0.0000 0.0000 0.0000
Ga -2.2134 -1.6574 -1.8658
Ga -3.8224 1.0970 0.5775
Ir -3.1535 -1.3266 0.4462
Pd -2.8823 0.7663 -1.7345
```

---

(12)
# TaGaIrPd

A geometry-optimized TaGaIrPd structure (PBE, Alexandria).

Calculated values
* final energy: -30.56 eV per formula unit
* SG: No. 216
* total magnetic moment: 0.0 μB per cell
* calculated formation energy: -407 meV per atom

```
4
Lattice="4.4694 0.0000 0.0000 2.2347 3.8706 0.0000 2.2347 1.2902 3.6493" Properties=species:S:1:pos:R:3 pbc="T T T"
Ir 4.4694 2.5804 1.8246
Ga 2.2347 1.2902 0.9123
Pd 0.0000 0.0000 0.0000
Ta 6.7041 3.8706 2.7369
```